No. 1
First-principles (PBE) data for a relaxed structure of NbNiB2, as listed in the Alexandria database.

POSCAR file:
```
NbNiB2
1.0
0.0000 2.7312 2.7312
2.7312 0.0000 2.7312
2.7312 2.7312 0.0000
Nb Ni B
1 1 2
direct
0.0000 0.0000 0.0000 Nb
0.5000 0.5000 0.5000 Ni
0.2500 0.2500 0.2500 B
0.7500 0.7500 0.7500 B
```

## Properties
Formation enthalpy at 0 K = 0.254 eV/atom
Crystal system = cubic
VASP energy = -7.048 eV per atom

No. 2
First-principles (PBE) data for a relaxed structure of KBa3Br, as listed in the Alexandria database.

POSCAR file:
```
KBa3Br
1.0
6.6419 0.0000 0.0000
0.0000 6.6419 0.0000
0.0000 0.0000 6.6419
K Ba Br
1 3 1
direct
0.0000 0.0000 0.0000 K
0.0000 0.5000 0.5000 Ba
0.5000 0.0000 0.5000 Ba
0.5000 0.5000 0.0000 Ba
0.5000 0.5000 0.5000 Br
```

## Properties
Raw formation energy = -0.48 eV per atom
Crystal system = cubic
VASP energy = -2.183 eV per atom

No. 3
First-principles (PBE) data for a relaxed structure of VGaCo, as listed in the Alexandria database.

POSCAR file:
```
VGaCo
1.0
0.0000 2.7835 2.7835
2.7835 0.0000 2.7835
2.7835 2.7835 0.0000
V Ga Co
1 1 1
direct
0.0000 0.0000 0.0000 V
0.5000 0.5000 0.5000 Ga
0.7500 0.7500 0.7500 Co
```

## Properties
Formation enthalpy at 0 K = -0.077 eV/atom
Crystal system = cubic
VASP energy = -6.494 eV per atom

No. 4
First-principles (PBE) data for a relaxed structure of FeAg2Ir, as listed in the Alexandria database.

POSCAR file:
```
FeAg2Ir
1.0
1.4377 -2.3345 0.0000
1.4377 2.3345 0.0000
0.0000 0.0000 9.4186
Fe Ag Ir
1 2 1
direct
0.0000 0.0000 0.0000 Fe
0.0000 0.0000 0.4831 Ag
0.5000 0.5000 0.7518 Ag
0.5000 0.5000 0.2179 Ir
```

## Properties
Formation enthalpy at 0 K = 0.249 eV/atom
Crystal system = orthorhombic
VASP energy = -5.508 eV per atom

No. 5
First-principles (PBE) data for a relaxed structure of Sm12Tl4GaO3, as listed in the Alexandria database.

POSCAR file:
```
Sm12Tl4GaO3
1.0
-5.0714 5.0714 5.0714
5.0714 -5.0714 5.0714
5.0714 5.0714 -5.0714
Sm Tl Ga O
12 4 1 3
direct
0.0000 0.2662 0.2662 Sm
0.0000 0.7338 0.7338 Sm
0.2500 0.5000 0.7500 Sm
0.2500 0.7500 0.5000 Sm
0.2662 0.0000 0.2662 Sm
0.2662 0.2662 0.0000 Sm
0.5000 0.2500 0.7500 Sm
0.5000 0.7500 0.2500 Sm
0.7338 0.0000 0.7338 Sm
0.7338 0.7338 0.0000 Sm
0.7500 0.2500 0.5000 Sm
0.7500 0.5000 0.2500 Sm
0.0000 0.0000 0.5000 Tl
0.0000 0.5000 0.0000 Tl
0.5000 0.0000 0.0000 Tl
0.5000 0.5000 0.5000 Tl
0.0000 0.0000 0.0000 Ga
0.0000 0.5000 0.5000 O
0.5000 0.0000 0.5000 O
0.5000 0.5000 0.0000 O
```

## Properties
Raw formation energy = -1.00 eV per atom
Crystal system = cubic
VASP energy = -5.199 eV per atom

No. 6
First-principles (PBE) data for a relaxed structure of ZrTcPb2, as listed in the Alexandria database.

POSCAR file:
```
ZrTcPb2
1.0
4.8833 0.0000 0.0000
0.0000 4.8833 0.0000
0.0000 0.0000 3.5913
Zr Tc Pb
1 1 2
direct
0.0000 0.0000 0.0000 Zr
0.5000 0.5000 0.0000 Tc
0.0000 0.5000 0.5000 Pb
0.5000 0.0000 0.5000 Pb
```

## Properties
Formation enthalpy at 0 K = 0.413 eV/atom
Crystal system = tetragonal
VASP energy = -6.169 eV per atom

No. 7
First-principles (PBE) data for a relaxed structure of TbHgBiRh, as listed in the Alexandria database.

POSCAR file:
```
TbHgBiRh
1.0
0.0000 3.5745 3.5745
3.5745 0.0000 3.5745
3.5745 3.5745 0.0000
Tb Hg Bi Rh
1 1 1 1
direct
0.0000 0.0000 0.0000 Tb
0.2500 0.2500 0.2500 Hg
0.5000 0.5000 0.5000 Bi
0.7500 0.7500 0.7500 Rh
```

## Properties
Formation enthalpy at 0 K = -0.337 eV/atom
Crystal system = cubic
VASP energy = -4.378 eV per atom

No. 8
First-principles (PBE) data for a relaxed structure of BaLi3Pt2, as listed in the Alexandria database.

POSCAR file:
```
BaLi3Pt2
1.0
4.9331 -4.2724 0.0000
4.9331 4.2724 0.0000
0.0000 0.0000 5.6510
Ba Li Pt
2 6 4
direct
0.1633 0.8367 0.7500 Ba
0.8367 0.1633 0.2500 Ba
0.0426 0.5681 0.2500 Li
0.4319 0.9574 0.2500 Li
0.4652 0.5348 0.2500 Li
0.5348 0.4652 0.7500 Li
0.5681 0.0426 0.7500 Li
0.9574 0.4319 0.7500 Li
0.2785 0.2785 0.0000 Pt
0.2785 0.2785 0.5000 Pt
0.7215 0.7215 0.0000 Pt
0.7215 0.7215 0.5000 Pt
```

## Properties
Formation enthalpy at 0 K = -0.530 eV/atom
Crystal system = orthorhombic
VASP energy = -3.821 eV per atom

No. 9
First-principles (PBE) data for a relaxed structure of LaNd2Zn6, as listed in the Alexandria database.

POSCAR file:
```
LaNd2Zn6
1.0
7.9714 0.0000 0.0000
-3.9857 6.9034 0.0000
0.0000 0.0000 3.6436
La Nd Zn
1 2 6
direct
0.0000 0.0000 0.0000 La
0.3333 0.6667 0.0000 Nd
0.6667 0.3333 0.0000 Nd
0.0000 0.3359 0.5000 Zn
0.0000 0.6641 0.5000 Zn
0.3359 0.0000 0.5000 Zn
0.3359 0.3359 0.5000 Zn
0.6641 0.0000 0.5000 Zn
0.6641 0.6641 0.5000 Zn
```

## Properties
Formation enthalpy at 0 K = -0.348 eV/atom
Crystal system = hexagonal
VASP energy = -2.805 eV per atom

No. 10
First-principles (PBE) data for a relaxed structure of SrLiSnAs2, as listed in the Alexandria database.

POSCAR file:
```
SrLiSnAs2
1.0
5.4186 0.0000 0.0000
0.0000 5.4186 0.0000
0.0000 0.0000 5.9368
Sr Li Sn As
1 1 1 2
direct
0.0000 0.0000 0.0000 Sr
0.5000 0.5000 0.0000 Li
0.0000 0.0000 0.5000 Sn
0.0000 0.5000 0.5000 As
0.5000 0.0000 0.5000 As
```

## Properties
Formation enthalpy at 0 K = 0.322 eV/atom
Crystal system = tetragonal
VASP energy = -3.057 eV per atom

No. 11
First-principles (PBE) data for a relaxed structure of Ba2Li4Ag, as listed in the Alexandria database.

POSCAR file:
```
Ba2Li4Ag
1.0
-2.5992 2.5992 9.1267
2.5992 -2.5992 9.1267
2.5992 2.5992 -9.1267
Ba Li Ag
2 4 1
direct
0.1538 0.1538 0.0000 Ba
0.8462 0.8462 0.0000 Ba
0.0000 0.5000 0.5000 Li
0.3621 0.3621 0.0000 Li
0.5000 0.0000 0.5000 Li
0.6379 0.6379 0.0000 Li
0.5000 0.5000 0.0000 Ag
```

## Properties
Formation enthalpy at 0 K = 0.056 eV/atom
Crystal system = tetragonal
VASP energy = -1.994 eV per atom

No. 12
First-principles (PBE) data for a relaxed structure of Tm2Ga4CuPt3, as listed in the Alexandria database.

POSCAR file:
```
Tm2Ga4CuPt3
1.0
3.9981 0.0000 0.0000
0.0000 3.9981 0.0000
0.0000 0.0000 11.3496
Tm Ga Cu Pt
2 4 1 3
direct
0.0000 0.5000 0.2470 Tm
0.5000 0.0000 0.7530 Tm
0.0000 0.0000 0.5000 Ga
0.0000 0.5000 0.8666 Ga
0.5000 0.0000 0.1334 Ga
0.5000 0.5000 0.5000 Ga
0.5000 0.5000 0.0000 Cu
0.0000 0.0000 0.0000 Pt
0.0000 0.5000 0.6475 Pt
0.5000 0.0000 0.3525 Pt
```

## Properties
Formation enthalpy at 0 K = -0.817 eV/atom
Crystal system = tetragonal
VASP energy = -5.144 eV per atom

No. 13
First-principles (PBE) data for a relaxed structure of BeAlIO2, as listed in the Alexandria database.

POSCAR file:
```
BeAlIO2
1.0
3.7196 0.0000 0.0000
0.0000 3.7196 0.0000
0.0000 0.0000 5.1991
Be Al I O
1 1 1 2
direct
0.0000 0.0000 0.0000 Be
0.5000 0.5000 0.5000 Al
0.0000 0.0000 0.5000 I
0.0000 0.5000 0.0000 O
0.5000 0.0000 0.0000 O
```

## Properties
Raw formation energy = -0.18 eV per atom
Crystal system = tetragonal
VASP energy = -3.967 eV per atom

No. 14
First-principles (PBE) data for a relaxed structure of Mg2BF, as listed in the Alexandria database.

POSCAR file:
```
Mg2BF
1.0
5.3706 -1.8132 0.0000
5.3706 1.8132 0.0000
-0.0482 0.0000 6.0170
Mg B F
4 2 2
direct
0.0413 0.0413 0.2419 Mg
0.2185 0.2185 0.8292 Mg
0.7815 0.7815 0.1708 Mg
0.9587 0.9587 0.7581 Mg
0.4236 0.4236 0.0019 B
0.5764 0.5764 0.9981 B
0.1156 0.1156 0.5504 F
0.8844 0.8844 0.4496 F
```

## Properties
Raw formation energy = -1.07 eV per atom
Crystal system = monoclinic
VASP energy = -4.008 eV per atom

No. 15
First-principles (PBE) data for a relaxed structure of CdAgHg2, as listed in the Alexandria database.

POSCAR file:
```
CdAgHg2
1.0
3.7211 0.0000 0.0000
0.0000 3.9005 0.0000
0.0000 0.0000 6.0743
Cd Ag Hg
1 1 2
direct
0.0000 0.0000 0.0000 Cd
0.5000 0.5000 0.7631 Ag
0.0000 0.0000 0.5188 Hg
0.5000 0.5000 0.2542 Hg
```

## Properties
Formation enthalpy at 0 K = 0.052 eV/atom
Crystal system = orthorhombic
VASP energy = -1.041 eV per atom

No. 16
First-principles (PBE) data for a relaxed structure of Sc2CoGe, as listed in the Alexandria database.

POSCAR file:
```
Sc2CoGe
1.0
-3.5400 3.5400 2.9358
3.5400 -3.5400 2.9358
3.5400 3.5400 -2.9358
Sc Co Ge
4 2 2
direct
0.0859 0.1250 0.4609 Sc
0.3750 0.9141 0.0391 Sc
0.6641 0.6250 0.5391 Sc
0.8750 0.3359 0.9609 Sc
0.0000 0.0000 0.0000 Co
0.7500 0.2500 0.5000 Co
0.2500 0.7500 0.5000 Ge
0.5000 0.5000 0.0000 Ge
```

## Properties
Formation enthalpy at 0 K = -0.079 eV/atom
Crystal system = tetragonal
VASP energy = -6.175 eV per atom

No. 17
First-principles (PBE) data for a relaxed structure of MgMn2P, as listed in the Alexandria database.

POSCAR file:
```
MgMn2P
1.0
1.3815 0.7976 7.8891
-1.3815 0.7976 7.8891
0.0000 -1.5952 7.8891
Mg Mn P
1 2 1
direct
0.0000 0.0000 0.0000 Mg
0.2373 0.2373 0.2373 Mn
0.7627 0.7627 0.7627 Mn
0.5000 0.5000 0.5000 P
```

## Properties
Formation enthalpy at 0 K = 0.128 eV/atom
Crystal system = trigonal
VASP energy = -6.208 eV per atom

No. 18
First-principles (PBE) data for a relaxed structure of ZrSc3P, as listed in the Alexandria database.

POSCAR file:
```
ZrSc3P
1.0
5.0644 0.0000 0.0000
0.0000 5.0644 0.0000
0.0000 0.0000 5.0644
Zr Sc P
1 3 1
direct
0.0000 0.0000 0.0000 Zr
0.0000 0.0000 0.5000 Sc
0.0000 0.5000 0.0000 Sc
0.5000 0.0000 0.0000 Sc
0.5000 0.5000 0.5000 P
```

## Properties
Formation enthalpy at 0 K = 0.882 eV/atom
Crystal system = cubic
VASP energy = -5.709 eV per atom

No. 19
First-principles (PBE) data for a relaxed structure of La2PmTe, as listed in the Alexandria database.

POSCAR file:
```
La2PmTe
1.0
4.0183 0.0000 0.0000
0.0000 4.0183 0.0000
0.0000 0.0000 8.4051
La Pm Te
2 1 1
direct
0.0000 0.0000 0.2174 La
0.0000 0.0000 0.7826 La
0.5000 0.5000 0.5000 Pm
0.5000 0.5000 0.0000 Te
```

## Properties
Raw formation energy = -0.62 eV per atom
Crystal system = tetragonal
VASP energy = -5.060 eV per atom

No. 20
First-principles (PBE) data for a relaxed structure of ZrHgIr2, as listed in the Alexandria database.

POSCAR file:
```
ZrHgIr2
1.0
-3.6689 3.6689 2.9020
3.6689 -3.6689 2.9020
3.6689 3.6689 -2.9020
Zr Hg Ir
2 2 4
direct
0.0000 0.0000 0.0000 Zr
0.7500 0.2500 0.5000 Zr
0.2500 0.7500 0.5000 Hg
0.5000 0.5000 0.0000 Hg
0.1057 0.6250 0.9807 Ir
0.3750 0.3557 0.4807 Ir
0.6443 0.1250 0.0193 Ir
0.8750 0.8943 0.5193 Ir
```

## Properties
Formation enthalpy at 0 K = 0.193 eV/atom
Crystal system = tetragonal
VASP energy = -6.450 eV per atom